# 1
## Mg2CrPb (PBE-GGA)

Data for an optimized crystal structure of Mg2CrPb.

The total magnetization comes out at 16.3 μB/cell. The calculation puts the density of states at the Fermi level at 4.80 states/eV per cell. For the formation energy, the calculation gives 0.258 eV/atom.

```
data_Mg2CrPb
_cell_length_a 7.032
_cell_length_b 7.032
_cell_length_c 7.032
_cell_angle_alpha 90.00
_cell_angle_beta 90.00
_cell_angle_gamma 90.00
_space_group_name_H-M_alt 'F -4 3 m'
_space_group_IT_number 216
_space_group_name_Hall 'F -4 2 3'
loop_
_atom_site_label
_atom_site_type_symbol
_atom_site_fract_x
_atom_site_fract_y
_atom_site_fract_z
_atom_site_occupancy
Mg1 Mg 0.000 0.000 0.000 1
Mg2 Mg 0.250 0.250 0.250 1
Cr1 Cr 0.000 0.000 0.500 1
Pb1 Pb 0.250 0.250 0.750 1
```



# 2
## HfTiZnMo (PBE-GGA)

Data for an optimized crystal structure of HfTiZnMo.

The total magnetization comes out at 0.0 μB/cell. The offset from the most stable computed form comes out at 0 meV per atom. The calculation puts the density of states at the Fermi level at 4.17 states/eV per cell. For the formation energy, the calculation gives -0.188 eV/atom.

```
data_HfTiZnMo
_cell_length_a 3.309
_cell_length_b 3.309
_cell_length_c 6.300
_cell_angle_alpha 90.00
_cell_angle_beta 90.00
_cell_angle_gamma 90.00
_space_group_name_H-M_alt 'P 4 m m'
_space_group_IT_number 99
_space_group_name_Hall 'P 4 -2'
loop_
_atom_site_label
_atom_site_type_symbol
_atom_site_fract_x
_atom_site_fract_y
_atom_site_fract_z
_atom_site_occupancy
Hf1 Hf 0.000 0.000 0.000 1
Ti1 Ti 0.000 0.000 0.525 1
Zn1 Zn 0.500 0.500 0.280 1
Mo1 Mo 0.500 0.500 0.746 1
```



Question: The highest total magnetization belongs to which entry?
Answer: Mg2CrPb